(1)
Here is a relaxed Si2HgAu crystal from Alexandria via LeMat-Bulk. Energies are from PBE-GGA.

Structure (extended XYZ):
```
4
Lattice="2.9361 0.0000 0.0000 0.0000 3.3309 0.0000 -0.0154 0.0000 7.7012" Properties=species:S:1:pos:R:3 pbc="T T T"
Si 0.0000 0.0000 0.0000
Si 1.4527 1.6654 6.3995
Hg 0.0095 1.6654 2.3034
Au 1.4495 0.0000 4.4747
```

Results
Final energy: -13.3 eV per cell
Size of the total moment: 0.000 μB per cell
Formation energy from raw total energies: 0.273 eV per atom

---

(2)
Here is a relaxed CeAl2Cu4 crystal from Alexandria via LeMat-Bulk. Energies are from PBE-GGA.

Structure (extended XYZ):
```
7
Lattice="-3.2226 3.2226 2.5946 3.2226 -3.2226 2.5946 3.2226 3.2226 -2.5946" Properties=species:S:1:pos:R:3 pbc="T T T"
Ce 0.0000 0.0000 0.0000
Al 3.2226 0.0000 1.2973
Al 0.0000 3.2226 1.2973
Cu 1.9890 1.9890 0.0000
Cu 1.2336 -1.2336 2.5946
Cu -1.2336 1.2336 2.5946
Cu 1.2336 1.2336 2.5946
```

Results
Final energy: -31.9 eV per cell
Size of the total moment: 0.238 μB per cell
ΔH_f (0 K): -0.3028 eV/atom